Record 1
# Sn2PtS

Sn2PtS after structural relaxation (PBE, Alexandria via LeMat-Bulk).

The relative energy among the computed polymorphs is 0.000 eV per atom. The calculation puts the density at 6.750 g/cm³. The calculation puts the total energy at -4.783 eV per atom. The calculation puts the uncorrected formation energy at -239 meV/atom.

a = 6.327 Å, b = 6.327 Å, c = 7.255 Å
α = 64.15°, β = 64.15°, γ = 90.00°
Positions (direct):
Sn  0.875  0.892  0.750
Sn  0.642  0.125  0.250
Pt  0.750  0.250  0.500
Pt  0.000  0.000  0.000
S  0.250  0.750  0.500
Sn  0.375  0.358  0.750
Sn  0.108  0.625  0.250
S  0.500  0.500  0.000

***

Record 2
# CaNd2ErBi4

CaNd2ErBi4 after structural relaxation (PBE, Alexandria via LeMat-Bulk).

The value obtained for the formation energy is -0.827 eV/atom. The calculation puts the density at 8.181 g/cm³. The calculation puts the total energy at -4.780 eV per atom.

a = 4.561 Å, b = 7.882 Å, c = 7.970 Å
α = 70.64°, β = 90.00°, γ = 90.00°
Positions (direct):
Bi  0.000  0.742  0.757
Nd  0.000  0.000  0.000
Bi  0.000  0.258  0.243
Er  0.500  0.500  0.000
Bi  0.500  0.746  0.246
Nd  0.500  0.000  0.500
Ca  0.000  0.500  0.500
Bi  0.500  0.254  0.754